No. 1
Density functional theory data (PBE) for a relaxed La2TbOs crystal.

* offset from the most stable computed form: 0.459 eV per atom
* calculated density: 7.358 g/cm³
* space group: R-3m, No. 166

Unit cell a=3.936 b=3.936 c=10.786 alpha=79.49 beta=79.49 gamma=60.00
Sites, in units of the cell vectors:
Tb: 0.000 0.000 0.000
Os: 0.500 0.500 0.500
La: 0.114 0.114 0.658
La: 0.886 0.886 0.342

=====

No. 2
Density functional theory data (PBE) for a relaxed LaTb3Os crystal.

* DFT total energy: -6.013 eV/atom
* calculated density: 8.106 g/cm³
* space group: Pm-3m, No. 221

Unit cell a=5.486 b=5.486 c=5.486 alpha=90.00 beta=90.00 gamma=90.00
Sites, in units of the cell vectors:
Tb: 0.000 0.500 0.000
Tb: 0.000 0.000 0.500
Tb: 0.500 0.000 0.000
Os: 0.000 0.000 0.000
La: 0.500 0.500 0.500

=====

No. 3
Density functional theory data (PBE) for a relaxed LaTb2Os crystal.

* offset from the most stable computed form: 0.453 eV per atom
* calculated density: 8.273 g/cm³
* space group: R-3m, No. 166

Unit cell a=3.748 b=3.748 c=10.891 alpha=80.09 beta=80.09 gamma=60.00
Sites, in units of the cell vectors:
Tb: 0.113 0.113 0.660
Tb: 0.887 0.887 0.340
Os: 0.500 0.500 0.500
La: 0.000 0.000 0.000

=====

No. 4
Density functional theory data (PBE) for a relaxed LaTb2Os crystal.

* offset from the most stable computed form: 0.096 eV per atom
* calculated density: 9.531 g/cm³
* space group: P4/mmm, No. 123

Unit cell a=3.438 b=3.438 c=9.536 alpha=90.00 beta=90.00 gamma=90.00
Sites, in units of the cell vectors:
Tb: 0.000 0.000 0.826
Tb: 0.000 0.000 0.174
Os: 0.500 0.500 0.000
La: 0.500 0.500 0.500

=====

No. 5
Density functional theory data (PBE) for a relaxed La2Tb3Os2 crystal.

* DFT total energy: -6.796 eV/atom
* calculated density: 9.625 g/cm³
* space group: C2/m, No. 12

Unit cell a=3.963 b=6.457 c=8.623 alpha=101.25 beta=103.28 gamma=107.87
Sites, in units of the cell vectors:
La: 0.633 0.468 0.799
La: 0.367 0.532 0.201
Tb: 0.500 0.000 0.000
Tb: 0.203 0.828 0.579
Tb: 0.797 0.172 0.421
Os: 0.050 0.871 0.229
Os: 0.950 0.129 0.771

=====

No. 6
Density functional theory data (PBE) for a relaxed LaTbOs4 crystal.

* DFT total energy: -9.201 eV/atom
* calculated density: 15.542 g/cm³
* space group: F-43m, No. 216

Unit cell a=5.429 b=5.429 c=5.429 alpha=60.00 beta=60.00 gamma=60.00
Sites, in units of the cell vectors:
Tb: 0.000 0.000 0.000
Os: 0.625 0.625 0.124
Os: 0.625 0.124 0.625
Os: 0.625 0.625 0.625
Os: 0.124 0.625 0.625
La: 0.250 0.250 0.250

=====

No. 7
Density functional theory data (PBE) for a relaxed La3TbOs crystal.

* offset from the most stable computed form: 0.000 eV per atom
* calculated density: 8.091 g/cm³
* space group: Cm, No. 8

Unit cell a=3.963 b=6.528 c=12.913 alpha=85.52 beta=81.17 gamma=72.33
Sites, in units of the cell vectors:
La: 0.442 0.966 0.150
La: 0.771 0.695 0.762
La: 0.092 0.193 0.623
La: 0.988 0.123 0.901
La: 0.783 0.049 0.385
La: 0.425 0.630 0.520
Tb: 0.122 0.483 0.274
Tb: 0.230 0.531 0.009
Os: 0.783 0.300 0.134
Os: 0.424 0.367 0.784

=====

No. 8
Density functional theory data (PBE) for a relaxed La3TbOs crystal.

* offset from the most stable computed form: 0.154 eV per atom
* calculated density: 7.016 g/cm³
* space group: Pm-3m, No. 221

Unit cell a=5.659 b=5.659 c=5.659 alpha=90.00 beta=90.00 gamma=90.00
Sites, in units of the cell vectors:
Tb: 0.500 0.500 0.500
Os: 0.000 0.000 0.000
La: 0.000 0.500 0.000
La: 0.000 0.000 0.500
La: 0.500 0.000 0.000